PmNdY4S8 | PBE-GGA | relaxed

Cell and atoms, written as POSCAR:
```
PmNdY4S8
1.0
4.062 2.345 6.689
-4.062 2.345 6.689
0.000 -4.691 6.689
Pm Nd Y S
1 1 4 8
Cartesian
0.000 0.000 0.000 Pm
0.000 0.000 7.523 Nd
0.000 -2.360 3.367 Y
-2.043 1.180 3.367 Y
2.043 1.180 3.367 Y
0.000 0.000 12.571 Y
-2.116 -1.222 11.627 S
0.000 0.000 4.801 S
0.000 -2.513 8.494 S
-2.177 1.257 8.494 S
2.116 -1.222 11.627 S
0.000 2.444 11.627 S
0.000 0.000 15.222 S
2.177 1.257 8.494 S
```

Output
E (eV/cell): -95.45
Crystal system: trigonal
Volume (Å³ per atom): 27.314
SG: R3m
Magnetic moment (μB per formula unit): 0.0
Mass density (g/cm³): 3.914
Formation energy from raw total energies (eV per atom): -1.933